{
  "formula": "RbTcB4",
  "functional": "PBE-GGA",
  "state": "relaxed",
  "energy_ev_per_atom": -5.481,
  "relative_energy_ev_per_atom": 0.689,
  "spacegroup": "Immm, No. 71",
  "vol_a3_per_atom": 11.11,
  "lattice_angstrom": [[0.537, -2.245, 4.515], [4.282, 2.167, 1.638], [-4.896, 0.694, -1.120]],
  "species": ["B", "B", "B", "B", "Rb", "Tc"],
  "fractional_positions": [[0.577, 0.228, 0.349], [0.122, 0.772, 0.349], [0.878, 0.228, 0.651], [0.423, 0.772, 0.651], [0.000, 0.000, 0.000], [0.500, 0.500, 0.000]]
}